A plane-wave DFT calculation with PBE-GGA was carried out for a geometry-optimized CaTlZnPd structure.

The space group is F-43m (No. 216) and the conventional cell measures 6.9577, 6.9577 and 6.9577 Å, with angles of 90.00, 90.00 and 90.00 degrees. The inequivalent atoms are Ca at (0.0000, 0.0000, 0.0000), Tl at (0.0000, 0.0000, 0.5000), Zn at (0.2500, 0.2500, 0.7500) and Pd at (0.2500, 0.2500, 0.2500).

The energy of formation from the pure elements comes out at -317 meV per atom. The value obtained for the electronic total energy is -48.41 eV/cell. The crystal system is cubic.

---

A plane-wave DFT calculation with PBE-GGA was carried out for a geometry-optimized CaTm4Pd5 structure.

The space group is P4/mmm (No. 123) and the conventional cell measures 3.4425, 3.4425 and 17.7621 Å, with angles of 90.00, 90.00 and 90.00 degrees. The inequivalent atoms are Ca at (0.0000, 0.0000, 0.0000), Tm at (0.0000, 0.0000, 0.2029), Tm at (0.0000, 0.0000, 0.4016), Pd at (0.5000, 0.5000, 0.1141), Pd at (0.5000, 0.5000, 0.3039) and Pd at (0.5000, 0.5000, 0.5000).

The energy of formation from the pure elements comes out at -902 meV per atom. The value obtained for the electronic total energy is -54.87 eV/cell. The crystal system is tetragonal.

---

A plane-wave DFT calculation with PBE-GGA was carried out for a geometry-optimized CaTm3Pd4 structure.

The space group is R-3m (No. 166, hexagonal axes) and the conventional cell measures 4.9099, 4.9099 and 24.1102 Å, with angles of 90.00, 90.00 and 120.00 degrees. The inequivalent atoms are Ca at (0.0000, 0.0000, 0.0000), Tm at (0.0000, 0.0000, 0.2509), Tm at (0.0000, 0.0000, 0.5000), Pd at (0.0000, 0.0000, 0.1297) and Pd at (0.0000, 0.0000, 0.3801).

The energy of formation from the pure elements comes out at -884 meV per atom. The value obtained for the electronic total energy is -129.78 eV/cell. The crystal system is trigonal.

---

Q: Which value of electronic total energy does entry 1 give?
A: -48.41 eV/cell